(1)
Here is a relaxed TmCdPd2 crystal from Alexandria via LeMat-Bulk. Energies are from PBE.

## Properties
Formation energy ... -0.70 eV per atom
Distance to the lowest polymorph of the same formula ... 0.063 eV per atom
DOS at the Fermi energy ... 1.44 states/eV/cell

Lattice parameters (Å, degrees): 4.6891 4.6891 3.4442 90.00 90.00 90.00
Last column: nearest neighbours and their distance in Å.
Sites, in units of the cell vectors:
Tm (0.0000, 0.0000, 0.0000)  8 Pd 2.91
Cd (0.5000, 0.5000, 0.0000)  8 Pd 2.91
Pd (0.0000, 0.5000, 0.5000)  4 Cd 2.91, 4 Tm 2.91
Pd (0.5000, 0.0000, 0.5000)  4 Cd 2.91, 4 Tm 2.91

***

(2)
Here is a relaxed TmCd3Pd6 crystal from Alexandria via LeMat-Bulk. Energies are from PBE.

## Properties
Formation energy ... -0.40 eV per atom
Distance to the lowest polymorph of the same formula ... 0.145 eV per atom
DOS at the Fermi energy ... 7.88 states/eV/cell

Lattice parameters (Å, degrees): 8.6248 8.6248 5.3687 90.00 90.00 111.76
Last column: nearest neighbours and their distance in Å.
Sites, in units of the cell vectors:
Tm (0.1729, 0.8271, 0.5000)  8 Pd 2.78-3.11
Tm (0.8271, 0.1729, 0.0000)  8 Pd 2.78-3.11
Cd (0.1238, 0.2924, 0.4800)  6 Pd 2.70-2.87, 1 Cd 2.84
Cd (0.2924, 0.1238, 0.9800)  6 Pd 2.70-2.87, 1 Cd 2.84
Cd (0.4117, 0.5883, 0.5331)  2 Cd 2.84, 4 Pd 2.91-2.94
Cd (0.5883, 0.4117, 0.0331)  2 Cd 2.84, 4 Pd 2.91-2.94
Cd (0.7076, 0.8762, 0.4800)  6 Pd 2.70-2.87, 1 Cd 2.84
Cd (0.8762, 0.7076, 0.9800)  6 Pd 2.70-2.87, 1 Cd 2.84
Pd (0.0041, 0.9959, 0.2370)  2 Pd 2.69, 4 Cd 2.70-2.71, 2 Tm 2.79-2.83
Pd (0.0179, 0.5094, 0.7317)  6 Pd 2.70-2.88, 2 Cd 2.73-2.78, 1 Tm 2.85
Pd (0.2421, 0.7579, 0.0166)  6 Pd 2.76-2.85, 2 Tm 2.78-2.94, 2 Cd 3.03
Pd (0.2608, 0.4352, 0.0079)  4 Cd 2.80-2.94, 4 Pd 2.83-2.94
Pd (0.4352, 0.2608, 0.5079)  4 Cd 2.80-2.94, 4 Pd 2.83-2.94
Pd (0.4906, 0.9821, 0.7317)  6 Pd 2.70-2.88, 2 Cd 2.73-2.78, 1 Tm 2.85
Pd (0.5094, 0.0179, 0.2317)  6 Pd 2.70-2.88, 2 Cd 2.73-2.78, 1 Tm 2.85
Pd (0.5648, 0.7392, 0.0079)  4 Cd 2.80-2.94, 4 Pd 2.83-2.94
Pd (0.7392, 0.5648, 0.5079)  4 Cd 2.80-2.94, 4 Pd 2.83-2.94
Pd (0.7579, 0.2421, 0.5166)  6 Pd 2.76-2.85, 2 Tm 2.78-2.94, 2 Cd 3.03
Pd (0.9821, 0.4906, 0.2317)  6 Pd 2.70-2.88, 2 Cd 2.73-2.78, 1 Tm 2.85
Pd (0.9959, 0.0041, 0.7370)  2 Pd 2.69, 4 Cd 2.70-2.71, 2 Tm 2.79-2.83

***

(3)
Here is a relaxed TmCd2Pd6 crystal from Alexandria via LeMat-Bulk. Energies are from PBE.

## Properties
Formation energy ... -0.40 eV per atom
DOS at the Fermi energy ... 2.80 states/eV/cell

Lattice parameters (Å, degrees): 6.3439 6.3439 4.6928 111.48 111.48 76.30
Last column: nearest neighbours and their distance in Å.
Sites, in units of the cell vectors:
Tm (0.0000, 0.0000, 0.0000)  8 Pd 2.79-2.84, 2 Cd 3.01
Cd (0.3410, 0.3410, 0.3408)  8 Pd 2.78-2.82, 1 Cd 2.81, 1 Tm 3.01
Cd (0.6590, 0.6590, 0.6592)  8 Pd 2.78-2.82, 1 Cd 2.81, 1 Tm 3.01
Pd (0.1339, 0.5214, 0.8276)  3 Cd 2.80-2.82, 1 Tm 2.84, 7 Pd 2.85-3.04
Pd (0.1938, 0.8062, 0.5000)  2 Cd 2.78, 2 Tm 2.79, 7 Pd 2.89-3.04
Pd (0.4786, 0.8661, 0.1724)  3 Cd 2.80-2.82, 1 Tm 2.84, 7 Pd 2.85-3.04
Pd (0.5214, 0.1339, 0.8276)  3 Cd 2.80-2.82, 1 Tm 2.84, 7 Pd 2.85-3.04
Pd (0.8062, 0.1938, 0.5000)  2 Cd 2.78, 2 Tm 2.79, 7 Pd 2.89-3.04
Pd (0.8661, 0.4786, 0.1724)  3 Cd 2.80-2.82, 1 Tm 2.84, 7 Pd 2.85-3.04

***

(4)
Here is a relaxed TmCd4Pd5 crystal from Alexandria via LeMat-Bulk. Energies are from PBE.

## Properties
Formation energy ... -0.52 eV per atom
DOS at the Fermi energy ... 3.52 states/eV/cell

Lattice parameters (Å, degrees): 3.4450 3.4450 15.2978 90.00 90.00 90.00
Last column: nearest neighbours and their distance in Å.
Sites, in units of the cell vectors:
Tm (0.0000, 0.0000, 0.0000)  8 Pd 2.91, 2 Cd 3.16
Cd (0.0000, 0.0000, 0.2068)  8 Pd 2.84-2.90, 1 Cd 2.98, 1 Tm 3.16
Cd (0.0000, 0.0000, 0.4018)  8 Pd 2.86-2.87, 2 Cd 2.98-3.00
Cd (0.0000, 0.0000, 0.5982)  8 Pd 2.86-2.87, 2 Cd 2.98-3.00
Cd (0.0000, 0.0000, 0.7932)  8 Pd 2.84-2.90, 1 Cd 2.98, 1 Tm 3.16
Pd (0.5000, 0.5000, 0.1038)  4 Cd 2.90, 4 Tm 2.91, 2 Pd 3.04-3.18
Pd (0.5000, 0.5000, 0.3026)  8 Cd 2.84-2.87, 2 Pd 3.02-3.04
Pd (0.5000, 0.5000, 0.5000)  8 Cd 2.86, 2 Pd 3.02
Pd (0.5000, 0.5000, 0.6974)  8 Cd 2.84-2.87, 2 Pd 3.02-3.04
Pd (0.5000, 0.5000, 0.8962)  4 Cd 2.90, 4 Tm 2.91, 2 Pd 3.04-3.18

***

(5)
Here is a relaxed Tm2Cd2Pd7 crystal from Alexandria via LeMat-Bulk. Energies are from PBE.

## Properties
Formation energy ... -0.26 eV per atom
DOS at the Fermi energy ... 4.64 states/eV/cell

Lattice parameters (Å, degrees): 5.7790 5.7790 6.9791 90.00 90.00 102.70
Last column: nearest neighbours and their distance in Å.
Sites, in units of the cell vectors:
Tm (0.1980, 0.8020, 0.0000)  7 Pd 2.71-2.75
Tm (0.8020, 0.1980, 0.0000)  7 Pd 2.71-2.75
Cd (0.3163, 0.3163, 0.5000)  1 Cd 2.65, 6 Pd 2.70-2.73
Cd (0.6837, 0.6837, 0.5000)  1 Cd 2.65, 6 Pd 2.70-2.73
Pd (0.0000, 0.0000, 0.2926)  2 Cd 2.70, 2 Tm 2.71, 5 Pd 2.89-2.90
Pd (0.0000, 0.0000, 0.7074)  2 Cd 2.70, 2 Tm 2.71, 5 Pd 2.89-2.90
Pd (0.0000, 0.5000, 0.2896)  2 Cd 2.73, 2 Tm 2.75, 3 Pd 2.89-2.94
Pd (0.0000, 0.5000, 0.7104)  2 Cd 2.73, 2 Tm 2.75, 3 Pd 2.89-2.94
Pd (0.5000, 0.0000, 0.2896)  2 Cd 2.73, 2 Tm 2.75, 3 Pd 2.89-2.94
Pd (0.5000, 0.0000, 0.7104)  2 Cd 2.73, 2 Tm 2.75, 3 Pd 2.89-2.94
Pd (0.5000, 0.5000, 0.0000)  2 Tm 2.73

***

(6)
Here is a relaxed TmCdPd3 crystal from Alexandria via LeMat-Bulk. Energies are from PBE.

## Properties
Formation energy ... -0.41 eV per atom
DOS at the Fermi energy ... 3.09 states/eV/cell

Lattice parameters (Å, degrees): 6.5946 6.5946 5.3740 90.00 90.00 120.00
Last column: nearest neighbours and their distance in Å.
Sites, in units of the cell vectors:
Tm (0.3333, 0.6667, 0.2500)  12 Pd 3.08-3.32
Tm (0.6667, 0.3333, 0.7500)  12 Pd 3.08-3.32
Cd (0.0000, 0.0000, 0.0000)  6 Pd 2.66, 2 Cd 2.69
Cd (0.0000, 0.0000, 0.5000)  6 Pd 2.66, 2 Cd 2.69
Pd (0.2007, 0.4015, 0.7500)  2 Pd 2.62, 2 Cd 2.66
Pd (0.2007, 0.7993, 0.7500)  2 Pd 2.62, 2 Cd 2.66
Pd (0.4015, 0.2007, 0.2500)  2 Pd 2.62, 2 Cd 2.66
Pd (0.5985, 0.7993, 0.7500)  2 Pd 2.62, 2 Cd 2.66
Pd (0.7993, 0.2007, 0.2500)  2 Pd 2.62, 2 Cd 2.66
Pd (0.7993, 0.5985, 0.2500)  2 Pd 2.62, 2 Cd 2.66

***

(7)
Here is a relaxed TmCd2Pd2 crystal from Alexandria via LeMat-Bulk. Energies are from PBE.

## Properties
Formation energy ... -0.56 eV per atom
DOS at the Fermi energy ... 4.54 states/eV/cell

Lattice parameters (Å, degrees): 8.2332 8.2332 5.2834 90.00 90.00 146.31
Last column: nearest neighbours and their distance in Å.
Sites, in units of the cell vectors:
Tm (0.1381, 0.8619, 0.5000)  6 Pd 2.91-3.16, 1 Cd 3.12
Tm (0.8619, 0.1381, 0.0000)  6 Pd 2.91-3.16, 1 Cd 3.12
Cd (0.3359, 0.6641, 0.5297)  6 Pd 2.80-2.98, 2 Cd 2.86-3.01, 1 Tm 3.12
Cd (0.4840, 0.5160, 0.2180)  4 Cd 2.69-3.01, 4 Pd 2.87-2.88
Cd (0.5160, 0.4840, 0.7180)  4 Cd 2.69-3.01, 4 Pd 2.87-2.88
Cd (0.6641, 0.3359, 0.0297)  6 Pd 2.80-2.98, 2 Cd 2.86-3.01, 1 Tm 3.12
Pd (0.0544, 0.9456, 0.9998)  6 Cd 2.87-2.95, 3 Tm 2.95-3.03, 3 Pd 3.15-3.19
Pd (0.2565, 0.7435, 0.0183)  4 Cd 2.80-2.98, 2 Tm 2.91
Pd (0.7435, 0.2565, 0.5183)  4 Cd 2.80-2.98, 2 Tm 2.91
Pd (0.9456, 0.0544, 0.4998)  6 Cd 2.87-2.95, 3 Tm 2.95-3.03, 3 Pd 3.15-3.19

***

(8)
Here is a relaxed Tm2Cd3Pd7 crystal from Alexandria via LeMat-Bulk. Energies are from PBE.

## Properties
Formation energy ... -0.61 eV per atom
Distance to the lowest polymorph of the same formula ... 0.000 eV per atom
DOS at the Fermi energy ... 3.48 states/eV/cell

Lattice parameters (Å, degrees): 4.8726 4.8735 9.7550 101.52 101.39 101.77
Last column: nearest neighbours and their distance in Å.
Sites, in units of the cell vectors:
Tm (0.1668, 0.1665, 0.3350)  8 Pd 2.87-2.93, 3 Cd 3.08-3.10
Tm (0.8332, 0.8335, 0.6650)  8 Pd 2.87-2.93, 3 Cd 3.08-3.10
Cd (0.0000, 0.0000, 0.0000)  10 Pd 2.85-3.07, 2 Tm 3.10
Cd (0.3435, 0.3434, 0.6848)  9 Pd 2.83-2.98, 2 Tm 3.08
Cd (0.6565, 0.6566, 0.3152)  9 Pd 2.83-2.98, 2 Tm 3.08
Pd (0.0792, 0.5793, 0.1603)  4 Cd 2.83-2.86, 6 Pd 2.85-3.14, 2 Tm 2.92-2.93
Pd (0.2498, 0.7499, 0.4999)  4 Tm 2.87-2.88, 4 Cd 2.97-2.98, 4 Pd 3.07-3.15
Pd (0.4207, 0.9208, 0.8397)  4 Cd 2.83-2.85, 6 Pd 2.85-3.15, 2 Tm 2.92-2.93
Pd (0.5000, 0.5000, 0.0000)  8 Pd 2.85-2.86, 4 Cd 2.92-3.07
Pd (0.5793, 0.0792, 0.1603)  4 Cd 2.83-2.85, 6 Pd 2.85-3.15, 2 Tm 2.92-2.93
Pd (0.7502, 0.2501, 0.5001)  4 Tm 2.87-2.88, 4 Cd 2.97-2.98, 4 Pd 3.07-3.15
Pd (0.9208, 0.4207, 0.8397)  4 Cd 2.83-2.86, 6 Pd 2.85-3.14, 2 Tm 2.92-2.93

***

E per entry: -4.646, -4.240, -4.561, -3.933, -4.544, -4.601, -3.896, -4.616 eV/atom